Entry 1:
Compound: Tm2Al3ZnPt4
Source: Alexandria via LeMat-Bulk
Functional: GGA-PBE
Structure: relaxed

Output
space group: P-4m2 (115)
formation enthalpy at 0 K: -1030 meV/atom

a b c (Å): 4.056 4.056 11.073
angles (deg): 90.00 90.00 90.00
Fractional positions:
Pt1 0.500 0.500 0.000
Al1 0.000 0.000 0.500
Zn1 0.500 0.500 0.500
Pt2 0.000 0.000 0.000
Tm1 0.000 0.500 0.741
Tm2 0.500 0.000 0.259
Pt3 0.000 0.500 0.353
Al2 0.000 0.500 0.132
Al3 0.500 0.000 0.868
Pt4 0.500 0.000 0.647



Entry 2:
Compound: Tm2Al4ZnPt3
Source: Alexandria via LeMat-Bulk
Functional: GGA-PBE
Structure: relaxed

Output
space group: P-4m2 (115)
formation enthalpy at 0 K: -950 meV/atom

a b c (Å): 4.118 4.118 10.803
angles (deg): 90.00 90.00 90.00
Fractional positions:
Tm1 0.500 0.000 0.246
Tm2 0.000 0.500 0.754
Al1 0.500 0.000 0.635
Pt1 0.000 0.500 0.138
Al2 0.500 0.500 0.000
Pt2 0.500 0.000 0.862
Pt3 0.000 0.000 0.500
Al3 0.000 0.500 0.365
Zn1 0.500 0.500 0.500
Al4 0.000 0.000 0.000



Entry 3:
Compound: UAl2Pt
Source: Alexandria via LeMat-Bulk
Functional: GGA-PBE
Structure: relaxed

Output
space group: P4/mmm (123)
formation enthalpy at 0 K: -524 meV/atom

a b c (Å): 2.850 2.850 8.264
angles (deg): 90.00 90.00 90.00
Fractional positions:
U1 0.500 0.500 0.500
Al1 0.000 0.000 0.215
Al2 0.000 0.000 0.785
Pt1 0.500 0.500 0.000



Entry 4:
Compound: UAlPt
Source: Alexandria via LeMat-Bulk
Functional: GGA-PBE
Structure: relaxed

Output
space group: P-6m2 (187)
formation enthalpy at 0 K: -582 meV/atom

a b c (Å): 3.176 4.556 4.556
angles (deg): 120.00 90.00 90.00
Fractional positions:
Al1 0.167 0.667 0.333
Pt1 0.167 0.000 0.000
U1 0.667 0.333 0.667



Entry 5:
Compound: U2Al12Pt7
Source: Alexandria via LeMat-Bulk
Functional: GGA-PBE
Structure: relaxed

Output
space group: P-6 (174)
formation enthalpy at 0 K: -830 meV/atom

a b c (Å): 4.119 10.025 10.025
angles (deg): 120.00 90.00 90.00
Fractional positions:
Pt1 0.500 0.647 0.557
Al1 0.500 0.248 0.800
Al2 0.000 0.477 0.956
Al3 0.000 0.927 0.206
Al4 0.000 0.044 0.520
Al5 0.500 0.200 0.448
Al6 0.500 0.697 0.079
Al7 0.000 0.480 0.523
Pt2 0.000 0.214 0.287
Pt3 0.000 0.713 0.927
Pt4 0.000 0.333 0.667
Al8 0.500 0.921 0.618
Pt5 0.500 0.443 0.090
Al9 0.500 0.552 0.752
Al10 0.500 0.382 0.303
U1 0.000 0.667 0.333
U2 0.500 0.000 0.000
Pt6 0.000 0.073 0.786
Al11 0.000 0.279 0.073
Pt7 0.500 0.910 0.353
Al12 0.000 0.794 0.721



Entry 6:
Compound: UAlPt
Source: Alexandria via LeMat-Bulk
Functional: GGA-PBE
Structure: relaxed

Output
space group: P-62m (189)
formation enthalpy at 0 K: -696 meV/atom

a b c (Å): 6.962 6.962 4.178
angles (deg): 90.00 90.00 120.00
Fractional positions:
Al1 0.237 0.000 0.000
U1 0.574 0.000 0.500
Pt1 0.333 0.667 0.000
Al2 0.000 0.237 0.000
Al3 0.763 0.763 0.000
U2 0.000 0.574 0.500
U3 0.426 0.426 0.500
Pt2 0.667 0.333 0.000
Pt3 0.000 0.000 0.500



Entry 7:
Compound: UAlPt5
Source: Alexandria via LeMat-Bulk
Functional: GGA-PBE
Structure: relaxed

Output
space group: P4/mmm (123)
formation enthalpy at 0 K: -795 meV/atom

a b c (Å): 4.123 4.123 7.135
angles (deg): 90.00 90.00 90.00
Fractional positions:
Pt1 0.000 0.500 0.212
U1 0.000 0.000 0.500
Al1 0.500 0.500 0.000
Pt2 0.500 0.000 0.212
Pt3 0.500 0.000 0.788
Pt4 0.500 0.500 0.500
Pt5 0.000 0.500 0.788



Entry 8:
Compound: UAl10Pt2
Source: Alexandria via LeMat-Bulk
Functional: GGA-PBE
Structure: relaxed

Output
space group: Cmcm (63)
formation enthalpy at 0 K: -408 meV/atom

a b c (Å): 6.879 6.879 9.218
angles (deg): 90.00 90.00 97.57
Fractional positions:
Al1 0.787 0.787 0.000
Al2 0.615 0.385 0.570
Pt1 0.500 0.000 0.500
Al3 0.787 0.787 0.500
U1 0.884 0.116 0.750
Al4 0.866 0.609 0.750
Al5 0.391 0.134 0.750
U2 0.116 0.884 0.250
Pt2 0.000 0.500 0.000
Al6 0.769 0.526 0.250
Al7 0.842 0.158 0.102
Al8 0.842 0.158 0.398
Al9 0.615 0.385 0.930
Pt3 0.500 0.000 0.000
Al10 0.385 0.615 0.430
Al11 0.609 0.866 0.250
Al12 0.474 0.231 0.250
Al13 0.158 0.842 0.602
Al14 0.213 0.213 0.000
Pt4 0.000 0.500 0.500
Al15 0.385 0.615 0.070
Al16 0.526 0.769 0.750
Al17 0.231 0.474 0.750
Al18 0.213 0.213 0.500
Al19 0.158 0.842 0.898
Al20 0.134 0.391 0.250